A geometry-optimized NdVBi2O8 structure, computed with PBE+U.

The value obtained for the final energy is -6.28 eV per atom. For the volume, the calculation gives 160 Å³/f.u.

abc: 5.2612 5.2612 6.6536
angles: 90.00 90.00 120.00
Closest atoms and distances in Å follow each position.
Fractional coordinates of all 12 atoms:
O 0.6667 0.3333 0.4526  1 Bi 2.03
V 0.0000 0.0000 0.0000  6 O 1.87
Nd 0.0000 0.0000 0.5000  6 O 2.63
O 0.8382 0.1618 0.8272  1 V 1.87
O 0.3333 0.6667 0.5474  1 Bi 2.03
O 0.3236 0.1618 0.8272  1 V 1.87
O 0.1618 0.3236 0.1728  1 V 1.87
O 0.6764 0.8382 0.1728  1 V 1.87
O 0.8382 0.6764 0.8272  1 V 1.87
O 0.1618 0.8382 0.1728  1 V 1.87
Bi 0.3333 0.6667 0.8529  1 O 2.03
Bi 0.6667 0.3333 0.1471  1 O 2.03